Computed, not measured: an optimized crystal structure of HoLuTlCd at the PBE level of DFT.

```
HoLuTlCd
1.0
-2.100 4.283 -2.240
-1.530 -0.144 -5.041
-5.130 0.099 -1.200
Tl Lu Ho Cd
1 1 1 1
Direct
0.250 0.250 0.250
0.000 0.000 0.000
0.500 0.500 0.500
0.750 0.750 0.750
```

Summary:
**Space group**: F-43m (216)
**E_tot**: -3.40 eV/atom

---

Computed, not measured: an optimized crystal structure of HoTmLuCd at the PBE level of DFT.

```
HoTmLuCd
1.0
-3.546 -3.437 2.124
1.623 -4.842 1.680
0.150 -1.110 5.258
Lu Tm Ho Cd
1 1 1 1
Direct
0.250 0.250 0.250
0.000 0.000 0.000
0.500 0.500 0.500
0.750 0.750 0.750
```

Summary:
**Space group**: F-43m (216)
**E_tot**: -3.65 eV/atom

---

Computed, not measured: an optimized crystal structure of YHoLuCd at the PBE level of DFT.

```
YHoLuCd
1.0
5.408 0.000 0.000
2.704 4.684 0.000
2.704 1.561 4.416
Y Lu Ho Cd
1 1 1 1
Direct
0.750 0.750 0.750
0.500 0.500 0.500
0.250 0.250 0.250
0.000 0.000 0.000
```

Summary:
**Space group**: F-43m (216)
**E_tot**: -4.16 eV/atom

---

Computed, not measured: an optimized crystal structure of HoLuZnCd at the PBE level of DFT.

```
HoLuZnCd
1.0
-0.197 3.528 -3.701
2.838 -0.559 -4.221
-2.244 -1.098 -4.465
Zn Lu Ho Cd
1 1 1 1
Direct
0.250 0.250 0.250
0.000 0.000 0.000
0.500 0.500 0.500
0.750 0.750 0.750
```

Summary:
**Space group**: F-43m (216)
**E_tot**: -3.13 eV/atom

---

Computed, not measured: an optimized crystal structure of HoLuZrCd at the PBE level of DFT.

```
HoLuZrCd
1.0
5.263 0.000 0.000
2.631 4.558 0.000
2.631 1.519 4.297
Lu Ho Zr Cd
1 1 1 1
Direct
0.000 0.000 0.000
0.500 0.500 0.500
0.250 0.250 0.250
0.750 0.750 0.750
```

Summary:
**Space group**: F-43m (216)
**E_tot**: -4.59 eV/atom

---

Computed, not measured: an optimized crystal structure of Ho11Mg9Cd4 at the PBE level of DFT.

```
Ho11Mg9Cd4
1.0
-0.488 3.287 1.869
-13.212 -2.407 0.786
6.713 -4.993 10.534
Ho Mg Cd
11 9 4
Direct
0.000 0.588 0.930
0.000 0.412 0.070
0.000 0.930 0.588
0.000 0.070 0.412
0.000 0.651 0.349
0.000 0.349 0.651
0.000 0.832 0.168
0.000 0.168 0.832
0.000 0.000 0.000
0.000 0.740 0.740
0.000 0.260 0.260
0.500 0.627 0.141
0.500 0.373 0.859
0.500 0.141 0.627
0.500 0.859 0.373
0.500 0.793 0.954
0.500 0.207 0.046
0.500 0.954 0.793
0.500 0.046 0.207
0.500 0.500 0.500
0.500 0.551 0.735
0.500 0.449 0.265
0.500 0.735 0.551
0.500 0.265 0.449
```

Summary:
**Space group**: Cmmm (65)
**E_tot**: -2.98 eV/atom

---

Computed, not measured: an optimized crystal structure of Ho3Mg2Cd3 at the PBE level of DFT.

```
Ho3Mg2Cd3
1.0
3.695 0.000 0.000
0.000 5.274 0.000
-1.848 -2.637 10.410
Ho Mg Cd
3 2 3
Direct
0.625 0.625 0.251
0.375 0.375 0.749
0.500 0.000 0.000
0.740 0.240 0.479
0.260 0.760 0.521
0.126 0.126 0.252
0.000 0.500 0.000
0.874 0.874 0.748
```

Summary:
**Space group**: Immm (71)
**E_tot**: -2.67 eV/atom

---

Computed, not measured: an optimized crystal structure of HoMgCd at the PBE level of DFT.

```
HoMgCd
1.0
-2.086 -1.981 1.789
-2.643 -0.982 -4.169
3.882 -2.941 1.270
Mg Ho Cd
1 1 1
Direct
0.168 0.000 0.000
0.667 0.667 0.333
0.166 0.333 0.667
```

Summary:
**Space group**: P3m1 (156)
**E_tot**: -2.57 eV/atom

---

Computed, not measured: an optimized crystal structure of HoMgCd17 at the PBE level of DFT.

```
HoMgCd17
1.0
-3.654 -4.226 5.378
-1.473 -6.412 -4.105
5.855 -4.492 2.382
Ho Mg Cd
1 1 17
Direct
0.657 0.657 0.657
0.415 0.415 0.415
0.325 0.029 0.633
0.633 0.325 0.029
0.029 0.633 0.325
0.325 0.633 0.029
0.029 0.325 0.633
0.633 0.029 0.325
0.324 0.850 0.324
0.324 0.324 0.850
0.850 0.324 0.324
0.675 0.206 0.675
0.675 0.675 0.206
0.206 0.675 0.675
0.955 0.503 0.955
0.955 0.955 0.503
0.503 0.955 0.955
0.901 0.901 0.901
0.085 0.085 0.085
```

Summary:
**Space group**: R3m (160)
**E_tot**: -1.17 eV/atom

---

Computed, not measured: an optimized crystal structure of HoMg5Cd4 at the PBE level of DFT.

```
HoMg5Cd4
1.0
4.674 0.000 -1.602
-0.524 6.350 -1.529
0.009 -0.006 7.643
Ho Mg Cd
1 5 4
Direct
0.500 0.000 0.000
0.289 0.161 0.577
0.102 0.336 0.205
0.898 0.664 0.795
0.500 0.500 0.000
0.711 0.839 0.423
0.708 0.339 0.416
0.098 0.821 0.197
0.292 0.661 0.584
0.902 0.179 0.803
```

Summary:
**Space group**: C2/m (12)
**E_tot**: -1.77 eV/atom

---

Computed, not measured: an optimized crystal structure of Ho3Mg7Cd2 at the PBE level of DFT.

```
Ho3Mg7Cd2
1.0
-0.863 -2.779 -2.034
-1.831 -2.441 4.112
-13.911 7.798 -4.754
Ho Mg Cd
3 7 2
Direct
0.500 0.500 0.000
0.500 0.677 0.354
0.500 0.323 0.646
0.000 0.412 0.825
0.000 0.769 0.539
0.000 0.000 0.000
0.000 0.588 0.175
0.500 0.074 0.148
0.500 0.926 0.852
0.000 0.231 0.461
0.000 0.855 0.709
0.000 0.145 0.291
```

Summary:
**Space group**: Cmmm (65)
**E_tot**: -2.31 eV/atom

---

Computed, not measured: an optimized crystal structure of Ho2MgCd5 at the PBE level of DFT.

```
Ho2MgCd5
1.0
-2.512 -1.809 -3.693
-3.382 -1.553 3.061
-0.981 8.713 -0.457
Ho Mg Cd
2 1 5
Direct
0.748 0.748 0.496
0.252 0.252 0.504
0.000 0.000 0.000
0.500 0.500 0.000
0.882 0.382 0.765
0.382 0.882 0.765
0.118 0.618 0.235
0.618 0.118 0.235
```

Summary:
**Space group**: I4/mmm (139)
**E_tot**: -2.12 eV/atom

---

Computed, not measured: an optimized crystal structure of Ho2MgCd4 at the PBE level of DFT.

```
Ho2MgCd4
1.0
4.809 0.000 1.502
2.170 4.292 1.502
-0.105 -0.065 8.785
Ho Mg Cd
2 1 4
Direct
0.748 0.748 0.757
0.252 0.252 0.243
0.000 0.000 0.000
0.872 0.872 0.383
0.128 0.128 0.617
0.622 0.622 0.134
0.378 0.378 0.866
```

Summary:
**Space group**: R-3m (166)
**E_tot**: -2.17 eV/atom
**Offset from the most stable computed form**: 0 meV per atom

---

Computed, not measured: an optimized crystal structure of Ho4Mg2Cd3 at the PBE level of DFT.

```
Ho4Mg2Cd3
1.0
-0.644 4.847 -1.184
-3.280 1.112 -4.350
-8.657 -0.156 4.075
Ho Mg Cd
4 2 3
Direct
0.650 0.699 0.899
0.036 0.928 0.334
0.964 0.072 0.666
0.350 0.301 0.101
0.295 0.410 0.747
0.705 0.590 0.253
0.355 0.290 0.434
0.000 0.000 0.000
0.645 0.710 0.566
```

Summary:
**Space group**: C2/m (12)
**E_tot**: -2.86 eV/atom

---

Computed, not measured: an optimized crystal structure of Ho4MgCd2 at the PBE level of DFT.

```
Ho4MgCd2
1.0
4.992 0.000 1.560
2.252 4.455 1.560
-0.002 -0.001 8.774
Ho Mg Cd
4 1 2
Direct
0.868 0.868 0.397
0.132 0.132 0.603
0.611 0.611 0.166
0.389 0.389 0.834
0.000 0.000 0.000
0.740 0.740 0.779
0.260 0.260 0.221
```

Summary:
**Space group**: R-3m (166)
**E_tot**: -3.19 eV/atom
**Offset from the most stable computed form**: 0 meV per atom

---

Computed, not measured: an optimized crystal structure of Ho2MgCd2 at the PBE level of DFT.

```
Ho2MgCd2
1.0
-3.075 -3.308 -1.321
2.163 -3.764 -3.990
1.297 -5.373 2.056
Ho Mg Cd
2 1 2
Direct
0.199 0.301 0.301
0.801 0.699 0.699
0.000 0.000 0.000
0.500 0.273 0.727
0.500 0.727 0.273
```

Summary:
**Space group**: Immm (71)
**E_tot**: -2.68 eV/atom
**Offset from the most stable computed form**: 5 meV per atom

---

Computed, not measured: an optimized crystal structure of Ho3Mg4Cd4 at the PBE level of DFT.

```
Ho3Mg4Cd4
1.0
-3.818 0.093 -2.468
0.500 -7.662 -1.063
-2.502 2.626 8.159
Ho Mg Cd
3 4 4
Direct
0.118 0.118 0.236
0.882 0.882 0.764
0.000 0.500 0.000
0.327 0.133 0.654
0.673 0.479 0.346
0.673 0.867 0.346
0.327 0.521 0.654
0.222 0.722 0.445
0.778 0.278 0.555
0.500 0.807 0.000
0.500 0.193 0.000
```

Summary:
**Space group**: Immm (71)
**E_tot**: -2.33 eV/atom
**Offset from the most stable computed form**: 49 meV per atom

---

Computed, not measured: an optimized crystal structure of HoMg15Cd4 at the PBE level of DFT.

```
HoMg15Cd4
1.0
-3.471 -0.406 -2.970
2.308 -3.263 -2.250
-9.003 -15.038 12.575
Ho Mg Cd
1 15 4
Direct
0.000 0.000 0.000
0.500 0.500 0.000
0.500 0.500 0.208
0.500 0.500 0.401
0.500 0.500 0.599
0.500 0.500 0.792
0.500 0.000 0.108
0.500 0.000 0.303
0.500 0.000 0.500
0.500 0.000 0.697
0.500 0.000 0.892
0.000 0.500 0.108
0.000 0.500 0.303
0.000 0.500 0.500
0.000 0.500 0.697
0.000 0.500 0.892
0.000 0.000 0.203
0.000 0.000 0.402
0.000 0.000 0.598
0.000 0.000 0.797
```

Summary:
**Space group**: P4/mmm (123)
**E_tot**: -1.67 eV/atom

---

Computed, not measured: an optimized crystal structure of Ho3MgCd4 at the PBE level of DFT.

```
Ho3MgCd4
1.0
-3.337 -0.586 0.223
0.748 -1.982 5.992
-0.096 10.423 0.089
Ho Mg Cd
3 1 4
Direct
0.236 0.236 0.473
0.764 0.764 0.527
0.000 0.500 0.000
0.500 0.000 0.000
0.378 0.137 0.756
0.622 0.863 0.244
0.622 0.381 0.244
0.378 0.619 0.756
```

Summary:
**Space group**: Immm (71)
**E_tot**: -2.51 eV/atom
**Offset from the most stable computed form**: 163 meV per atom

---

Computed, not measured: an optimized crystal structure of Ho2MgCd3 at the PBE level of DFT.

```
Ho2MgCd3
1.0
5.623 0.000 0.000
0.000 7.258 1.417
0.000 -1.158 7.304
Ho Mg Cd
4 2 6
Direct
0.750 0.552 0.873
0.250 0.127 0.448
0.250 0.448 0.127
0.750 0.873 0.552
0.250 0.821 0.821
0.750 0.179 0.179
0.000 0.174 0.826
0.500 0.174 0.826
0.250 0.560 0.560
0.750 0.440 0.440
0.500 0.826 0.174
0.000 0.826 0.174
```

Summary:
**Space group**: Cmcm (63)
**E_tot**: -2.34 eV/atom
**Offset from the most stable computed form**: 208 meV per atom